## BeGaCoGe (PBE)

Data for a relaxed structure of BeGaCoGe.

Lattice parameters (Å, degrees): 5.9012 5.9012 5.9012 90.00 90.00 90.00
Closest atoms and distances in Å follow each position.
Space group F-43m (No. 216)
Asymmetric unit:
Be 0.0000 0.0000 0.0000 (multiplicity 4)  4 Co 2.56, 4 Ga 2.56
Ga 0.2500 0.2500 0.7500 (multiplicity 4)  4 Ge 2.56, 4 Be 2.56
Co 0.2500 0.2500 0.2500 (multiplicity 4)  4 Ge 2.56, 4 Be 2.56
Ge 0.0000 0.0000 0.5000 (multiplicity 4)  4 Co 2.56, 4 Ga 2.56

Electronic total energy ... -68.86 eV/cell
Energy above the most stable polymorph in this dataset ... 119 meV/atom
Volume ... 12.8 A^3/atom
Theoretical density ... 6.8 g cm⁻³